Record 1
DFT (PBE) results for an optimized crystal structure of TbEuEr.

abc: 3.6265 3.6265 8.8869
angles: 90.00 90.00 120.00
Last column: nearest neighbours and their distance in Å.
Fractional positions:
Tb  0.0000  0.0000  0.0000  3 Er 3.46, 6 Tb 3.63, 3 Eu 3.73
Eu  0.3333  0.6667  0.6523  6 Eu 3.63, 3 Er 3.70, 3 Tb 3.73
Er  0.6667  0.3333  0.3096  3 Tb 3.46, 6 Er 3.63, 3 Eu 3.70

Computed properties:
Spin magnetization = 7.29 μB/f.u.
Crystal system = trigonal
DFT formation energy = 59 meV per atom
Uncorrected energy = -19.29 eV/cell



Record 2
DFT (PBE) results for an optimized crystal structure of Al2SiSnP.

abc: 4.7638 4.7638 4.7496
angles: 90.00 90.00 90.00
Last column: nearest neighbours and their distance in Å.
Fractional positions:
Al  0.0000  0.5000  0.0000  2 Si 2.38
Al  0.5000  0.0000  0.0000  2 Si 2.38
Si  0.0000  0.0000  0.0000  2 P 2.37, 4 Al 2.38
Sn  0.5000  0.5000  0.5000  8 Al 3.36, 4 P 3.37
P  0.0000  0.0000  0.5000  2 Si 2.37

Computed properties:
Spin magnetization = 0.00 μB/f.u.
Crystal system = tetragonal
Uncorrected energy = -19.92 eV/cell



Record 3
DFT (PBE) results for an optimized crystal structure of Na2ScSiSe4.

abc: 7.9659 7.9659 7.9659
angles: 121.14 119.09 89.81
Last column: nearest neighbours and their distance in Å.
Fractional positions:
Na  0.0000  0.0000  0.0000  6 Se 2.90-2.93
Na  0.5000  0.0000  0.0000  6 Se 2.99-3.03
Na  0.5000  0.0000  0.5000  6 Se 2.90-2.93
Na  0.5000  0.5000  0.5000  6 Se 2.99-3.03
Sc  0.0000  0.5000  0.5000  6 Se 2.73-2.74
Sc  0.5000  0.5000  0.0000  6 Se 2.73-2.74
Si  0.0000  0.0000  0.5000  6 Se 2.61-2.65
Si  0.0000  0.5000  0.0000  6 Se 2.61-2.65
Se  0.2122  0.7411  0.4711  2 Si 2.65, 1 Sc 2.73, 1 Na 2.93
Se  0.2300  0.2589  0.9711  2 Si 2.65, 1 Sc 2.73, 1 Na 2.93
Se  0.2315  0.2459  0.5144  1 Si 2.61, 2 Sc 2.74, 2 Na 2.90
Se  0.2315  0.7171  0.9856  1 Si 2.61, 2 Sc 2.74, 2 Na 2.90
Se  0.7685  0.2829  0.0144  1 Si 2.61, 2 Sc 2.74, 2 Na 2.90
Se  0.7685  0.7541  0.4856  1 Si 2.61, 2 Sc 2.74, 2 Na 2.90
Se  0.7700  0.7411  0.0289  2 Si 2.65, 1 Sc 2.73, 1 Na 2.93
Se  0.7878  0.2589  0.5289  2 Si 2.65, 1 Sc 2.73, 1 Na 2.93

Computed properties:
Spin magnetization = 0.00 μB/f.u.
Crystal system = orthorhombic
Uncorrected energy = -72.93 eV/cell



Record 4
DFT (PBE) results for an optimized crystal structure of Pa2MnNi12P3.

abc: 7.0512 7.0512 7.0512
angles: 63.73 63.73 63.73
Last column: nearest neighbours and their distance in Å.
Fractional positions:
Pa  0.1147  0.1147  0.1147  6 Ni 2.51-2.65
Pa  0.8853  0.8853  0.8853  6 Ni 2.51-2.65
Mn  0.5000  0.5000  0.5000  6 Ni 2.36
Ni  0.1091  0.6397  0.6397  1 P 2.18, 1 Mn 2.36
Ni  0.1430  0.1430  0.6150  2 P 2.16
Ni  0.1430  0.6150  0.1430  2 P 2.16
Ni  0.3603  0.3603  0.8909  1 P 2.18, 1 Mn 2.36
Ni  0.3603  0.8909  0.3603  1 P 2.18, 1 Mn 2.36
Ni  0.3850  0.8570  0.8570  2 P 2.16
Ni  0.6150  0.1430  0.1430  2 P 2.16
Ni  0.6397  0.1091  0.6397  1 P 2.18, 1 Mn 2.36
Ni  0.6397  0.6397  0.1091  1 P 2.18, 1 Mn 2.36
Ni  0.8570  0.3850  0.8570  2 P 2.16
Ni  0.8570  0.8570  0.3850  2 P 2.16
Ni  0.8909  0.3603  0.3603  1 P 2.18, 1 Mn 2.36
P  0.0000  0.5000  0.5000  6 Ni 2.16-2.18
P  0.5000  0.0000  0.5000  6 Ni 2.16-2.18
P  0.5000  0.5000  0.0000  6 Ni 2.16-2.18

Computed properties:
Spin magnetization = 3.51 μB/f.u.
Crystal system = trigonal
DFT formation energy = -63 meV per atom
Uncorrected energy = -114.90 eV/cell



Record 5
DFT (PBE) results for an optimized crystal structure of Ce2TmGe3Ir4.

abc: 4.1558 4.1558 11.2967
angles: 90.00 90.00 90.00
Last column: nearest neighbours and their distance in Å.
Fractional positions:
Ce  0.0000  0.5000  0.2326  8 Ir 3.18-3.35, 4 Ge 3.19
Ce  0.5000  0.0000  0.7674  8 Ir 3.18-3.35, 4 Ge 3.19
Tm  0.0000  0.0000  0.5000  4 Ir 2.76, 4 Ge 2.94
Ge  0.0000  0.5000  0.8777  5 Ir 2.46-2.50
Ge  0.5000  0.0000  0.1223  5 Ir 2.46-2.50
Ge  0.5000  0.5000  0.5000  4 Ir 2.76, 4 Tm 2.94
Ir  0.0000  0.0000  0.0000  4 Ge 2.50
Ir  0.0000  0.5000  0.6603  1 Ge 2.46
Ir  0.5000  0.0000  0.3397  1 Ge 2.46
Ir  0.5000  0.5000  0.0000  4 Ge 2.50

Computed properties:
Spin magnetization = 1.34 μB/f.u.
Crystal system = tetragonal
DFT formation energy = -796 meV per atom
Uncorrected energy = -73.60 eV/cell



Record 6
DFT (PBE) results for an optimized crystal structure of CaY2As.

abc: 4.8736 4.8736 4.4113
angles: 90.00 90.00 90.00
Last column: nearest neighbours and their distance in Å.
Fractional positions:
Ca  0.0000  0.0000  0.0000  8 Y 3.29, 4 As 3.45
Y  0.0000  0.5000  0.5000  4 As 3.29, 4 Ca 3.29, 4 Y 3.45
Y  0.5000  0.0000  0.5000  4 As 3.29, 4 Ca 3.29, 4 Y 3.45
As  0.5000  0.5000  0.0000  8 Y 3.29, 4 Ca 3.45

Computed properties:
Spin magnetization = 0.00 μB/f.u.
Crystal system = tetragonal
DFT formation energy = -329 meV per atom
Uncorrected energy = -20.89 eV/cell



- spin magnetization of number 4 (Pa2MnNi12P3)?
  3.51 μB/f.u.